# 1
A relaxed structure of RbBaCd2Ag, computed with PBE.

The structure in CIF format:
```
data_RbBaCd2Ag
_chemical_formula_sum 'Rb1 Ba1 Cd2 Ag1'
_cell_length_a 5.648
_cell_length_b 5.648
_cell_length_c 6.041
_cell_angle_alpha 90.00
_cell_angle_beta 90.00
_cell_angle_gamma 90.00
_symmetry_space_group_name_H-M 'P 4/m m m'
_symmetry_Int_Tables_number 123
_symmetry_space_group_name_Hall '-P 4 2'
loop_
_atom_site_label
_atom_site_type_symbol
_atom_site_fract_x
_atom_site_fract_y
_atom_site_fract_z
_atom_site_occupancy
Rb1 Rb 0.000 0.000 0.000 1
Ba1 Ba 0.500 0.500 0.000 1
Cd1 Cd 0.000 0.500 0.500 1
Ag1 Ag 0.500 0.500 0.500 1
```

## Properties
Raw total energy ... -1.496 eV/atom

***

# 2
A relaxed structure of Ba2Cd6AgRh, computed with PBE.

The structure in CIF format:
```
data_Ba2Cd6AgRh
_chemical_formula_sum 'Ba4 Cd12 Ag2 Rh2'
_cell_length_a 7.501
_cell_length_b 7.524
_cell_length_c 10.609
_cell_angle_alpha 90.00
_cell_angle_beta 90.00
_cell_angle_gamma 90.00
_symmetry_space_group_name_H-M 'I m m m'
_symmetry_Int_Tables_number 71
_symmetry_space_group_name_Hall '-I 2 2'
loop_
_atom_site_label
_atom_site_type_symbol
_atom_site_fract_x
_atom_site_fract_y
_atom_site_fract_z
_atom_site_occupancy
Ba1 Ba 0.000 0.000 0.250 1
Cd1 Cd 0.000 0.500 0.246 1
Cd2 Cd 0.246 0.254 0.000 1
Ag1 Ag 0.000 0.500 0.500 1
Rh1 Rh 0.000 0.500 0.000 1
```

## Properties
Raw total energy ... -2.142 eV/atom

***

Which value of raw total energy does entry 1 give? -1.496 eV/atom